[1]
# MnCo2Se4, optimized geometry, DFT PBE
data_MnCo2Se4
_cell_length_a 7.2062
_cell_length_b 7.2062
_cell_length_c 17.6394
_cell_angle_alpha 90.00
_cell_angle_beta 90.00
_cell_angle_gamma 120.00
_space_group_name_H-M_alt 'R -3 m'
_space_group_IT_number 166
_space_group_name_Hall '-R 3 2"'
loop_
_atom_site_label
_atom_site_type_symbol
_atom_site_fract_x
_atom_site_fract_y
_atom_site_fract_z
Mn1 Mn 0.0000 0.0000 0.1251
Co1 Co 0.0000 0.0000 0.5000
Co2 Co 0.0000 0.5000 0.0000
Se1 Se 0.0000 0.0000 0.2648
Se2 Se 0.0402 0.5201 0.2553
# M_tot	27.63	μB per cell
# VASP energy	-5.6307	eV/atom

[2]
# La2I4Br, optimized geometry, DFT PBE
data_La2I4Br
_cell_length_a 5.6346
_cell_length_b 5.6346
_cell_length_c 31.6497
_cell_angle_alpha 90.00
_cell_angle_beta 90.00
_cell_angle_gamma 120.00
_space_group_name_H-M_alt 'R -3 m'
_space_group_IT_number 166
_space_group_name_Hall '-R 3 2"'
loop_
_atom_site_label
_atom_site_type_symbol
_atom_site_fract_x
_atom_site_fract_y
_atom_site_fract_z
La1 La 0.0000 0.0000 0.0931
I1 I 0.0000 0.0000 0.2017
I2 I 0.0000 0.0000 0.3995
Br1 Br 0.0000 0.0000 0.0000
# M_tot	3.66	μB per cell
# VASP energy	-3.9299	eV/atom